A plane-wave DFT calculation with PBE was carried out for crystalline PrDyAlIn at its relaxed geometry.

Lattice parameters (Å, degrees): 5.3196 5.3196 5.3196 60.00 60.00 60.00
Closest atoms and distances in Å follow each position.
Element x y z (fractional)
Pr (0.0000, 0.0000, 0.0000)  4 In 3.26, 4 Al 3.26
Dy (0.5000, 0.5000, 0.5000)  4 In 3.26, 4 Al 3.26
Al (0.2500, 0.2500, 0.2500)  4 Dy 3.26, 4 Pr 3.26
In (0.7500, 0.7500, 0.7500)  4 Pr 3.26, 4 Dy 3.26

Output
Theoretical density in g/cm3: 6.9
Excess energy over the best structure of this formula in the dataset in meV per atom: 18.7
ΔE_f in eV/atom: -0.403
Spin magnetization in Bohr magnetons per cell: 0.00
Energy in eV per cell: -17.47

A plane-wave DFT calculation with PBE was carried out for crystalline CoAgPbCl5 at its relaxed geometry.

Lattice parameters (Å, degrees): 7.3002 7.3002 10.3303 107.82 107.82 97.35
Closest atoms and distances in Å follow each position.
Element x y z (fractional)
Co (0.0848, 0.9152, 0.7500)  4 Cl 2.23-2.28
Co (0.9152, 0.0848, 0.2500)  4 Cl 2.23-2.28
Ag (0.4015, 0.5985, 0.7500)  3 Cl 2.49-2.66
Ag (0.5985, 0.4015, 0.2500)  3 Cl 2.49-2.66
Pb (0.0000, 0.5000, 0.0000)  6 Cl 2.89-2.98
Pb (0.5000, 0.0000, 0.5000)  6 Cl 2.89-2.98
Cl (0.1844, 0.2458, 0.8325)  1 Co 2.23
Cl (0.2084, 0.7710, 0.5767)  1 Co 2.28
Cl (0.2290, 0.7916, 0.9233)  1 Co 2.28
Cl (0.2458, 0.1844, 0.3325)  1 Co 2.23
Cl (0.3718, 0.6282, 0.2500)  1 Ag 2.49
Cl (0.6282, 0.3718, 0.7500)  1 Ag 2.49
Cl (0.7542, 0.8156, 0.6675)  1 Co 2.23
Cl (0.7710, 0.2084, 0.0767)  1 Co 2.28
Cl (0.7916, 0.2290, 0.4233)  1 Co 2.28
Cl (0.8156, 0.7542, 0.1675)  1 Co 2.23

Output
Theoretical density in g/cm3: 3.8
Raw formation energy in meV/atom: -729
Spin magnetization in Bohr magnetons per cell: 6.00
Energy in eV per cell: -57.45

A plane-wave DFT calculation with PBE was carried out for crystalline BaYTa2 at its relaxed geometry.

Lattice parameters (Å, degrees): 3.0798 3.0798 10.8525 90.00 90.00 90.26
Closest atoms and distances in Å follow each position.
Element x y z (fractional)
Ba (0.0000, 0.0000, 0.0000)  4 Ba 3.08
Y (0.0000, 0.0000, 0.5000)  4 Y 3.08, 8 Ta 3.25
Ta (0.5000, 0.5000, 0.2776)  4 Ta 3.08, 4 Y 3.25
Ta (0.5000, 0.5000, 0.7224)  4 Ta 3.08, 4 Y 3.25

Output
Theoretical density in g/cm3: 9.5
Excess energy over the best structure of this formula in the dataset in meV per atom: 475.1
ΔE_f in eV/atom: 0.907
Spin magnetization in Bohr magnetons per cell: 0.00
Energy in eV per cell: -28.47

A plane-wave DFT calculation with PBE was carried out for crystalline AcSc3 at its relaxed geometry.

Lattice parameters (Å, degrees): 5.7899 5.7899 5.7899 128.52 128.52 75.78
Closest atoms and distances in Å follow each position.
Element x y z (fractional)
Ac (0.0000, 0.0000, 0.0000)  12 Sc 3.40-3.56
Sc (0.2500, 0.7500, 0.5000)  8 Sc 3.40-3.56, 4 Ac 3.40
Sc (0.5000, 0.5000, 0.0000)  8 Sc 3.40, 4 Ac 3.56
Sc (0.7500, 0.2500, 0.5000)  8 Sc 3.40-3.56, 4 Ac 3.40

Output
Theoretical density in g/cm3: 5.2
Excess energy over the best structure of this formula in the dataset in meV per atom: 21.1
ΔE_f in eV/atom: 0.140
Spin magnetization in Bohr magnetons per cell: 0.00
Energy in eV per cell: -22.54

A plane-wave DFT calculation with PBE was carried out for crystalline MnGeSN at its relaxed geometry.

Lattice parameters (Å, degrees): 3.0673 3.0676 7.7819 87.95 87.70 60.01
Closest atoms and distances in Å follow each position.
Element x y z (fractional)
Mn (0.0000, 0.0000, 0.0000)  3 N 2.00
Ge (0.3608, 0.3520, 0.6332)  1 N 1.92
S (0.6520, 0.6561, 0.1925)  3 Mn 2.32
N (0.3423, 0.3397, 0.8807)  1 Ge 1.92, 3 Mn 2.00

Output
Theoretical density in g/cm3: 4.6
Excess energy over the best structure of this formula in the dataset in meV per atom: 0.0
Raw formation energy in meV/atom: -125
Spin magnetization in Bohr magnetons per cell: 2.83
Energy in eV per cell: -26.74

A plane-wave DFT calculation with PBE was carried out for crystalline NaVS2 at its relaxed geometry.

Lattice parameters (Å, degrees): 8.4128 8.4128 8.4128 22.87 22.87 22.87
Closest atoms and distances in Å follow each position.
Element x y z (fractional)
Na (0.0000, 0.0000, 0.0000)  2 S 2.68
V (0.5000, 0.5000, 0.5000)  6 S 2.39
S (0.1090, 0.1090, 0.1090)  3 V 2.39, 1 Na 2.68
S (0.8910, 0.8910, 0.8910)  3 V 2.39, 1 Na 2.68

Output
Theoretical density in g/cm3: 2.9
Raw formation energy in meV/atom: -758
Spin magnetization in Bohr magnetons per cell: 0.40
Energy in eV per cell: -21.73

A plane-wave DFT calculation with PBE was carried out for crystalline Cr2InAu at its relaxed geometry.

Lattice parameters (Å, degrees): 8.8483 8.8483 8.8483 19.21 19.21 19.21
Closest atoms and distances in Å follow each position.
Element x y z (fractional)
Cr (0.0000, 0.0000, 0.0000)  3 Cr 2.26
Cr (0.2765, 0.2765, 0.2765)  3 Cr 2.26
In (0.7578, 0.7578, 0.7578)  3 Cr 2.92, 6 In 2.95, 3 Au 3.08
Au (0.5231, 0.5231, 0.5231)  3 Cr 2.83, 6 Au 2.95, 3 In 3.08

Output
Theoretical density in g/cm3: 10.5
ΔE_f in eV/atom: 0.347
Spin magnetization in Bohr magnetons per cell: 0.01
Energy in eV per cell: -23.87

A plane-wave DFT calculation with PBE was carried out for crystalline AcTb2Hg at its relaxed geometry.

Lattice parameters (Å, degrees): 10.9839 10.9839 10.9839 19.73 19.73 19.73
Closest atoms and distances in Å follow each position.
Element x y z (fractional)
Ac (0.0000, 0.0000, 0.0000)  6 Tb 3.76, 6 Ac 3.76
Tb (0.2385, 0.2385, 0.2385)  3 Hg 3.18
Tb (0.7615, 0.7615, 0.7615)  3 Hg 3.18
Hg (0.5000, 0.5000, 0.5000)  6 Tb 3.18

Output
Theoretical density in g/cm3: 9.4
Excess energy over the best structure of this formula in the dataset in meV per atom: 57.2
ΔE_f in eV/atom: -0.150
Spin magnetization in Bohr magnetons per cell: 0.00
Energy in eV per cell: -14.27

A plane-wave DFT calculation with PBE was carried out for crystalline Nd2ScCu12Ni3 at its relaxed geometry.

Lattice parameters (Å, degrees): 6.4804 6.4804 6.4804 83.20 83.20 83.20
Closest atoms and distances in Å follow each position.
Element x y z (fractional)
Nd (0.2403, 0.2403, 0.2403)  3 Ni 2.74, 9 Cu 2.86-3.07
Nd (0.7597, 0.7597, 0.7597)  3 Ni 2.74, 9 Cu 2.86-3.07
Sc (0.5000, 0.5000, 0.5000)  6 Cu 2.49
Cu (0.0798, 0.0798, 0.6498)  6 Cu 2.41-2.67
Cu (0.0798, 0.6498, 0.0798)  6 Cu 2.41-2.67
Cu (0.2126, 0.7033, 0.7033)  5 Cu 2.41-2.63, 1 Sc 2.49, 1 Ni 2.58
Cu (0.2967, 0.2967, 0.7874)  5 Cu 2.41-2.63, 1 Sc 2.49, 1 Ni 2.58
Cu (0.2967, 0.7874, 0.2967)  5 Cu 2.41-2.63, 1 Sc 2.49, 1 Ni 2.58
Cu (0.3502, 0.9202, 0.9202)  6 Cu 2.41-2.67
Cu (0.6498, 0.0798, 0.0798)  6 Cu 2.41-2.67
Cu (0.7033, 0.2126, 0.7033)  5 Cu 2.41-2.63, 1 Sc 2.49, 1 Ni 2.58
Cu (0.7033, 0.7033, 0.2126)  5 Cu 2.41-2.63, 1 Sc 2.49, 1 Ni 2.58
Cu (0.7874, 0.2967, 0.2967)  5 Cu 2.41-2.63, 1 Sc 2.49, 1 Ni 2.58
Cu (0.9202, 0.3502, 0.9202)  6 Cu 2.41-2.67
Cu (0.9202, 0.9202, 0.3502)  6 Cu 2.41-2.67
Ni (0.0000, 0.5000, 0.5000)  6 Cu 2.58-2.79, 2 Nd 2.74
Ni (0.5000, 0.0000, 0.5000)  6 Cu 2.58-2.79, 2 Nd 2.74
Ni (0.5000, 0.5000, 0.0000)  6 Cu 2.58-2.79, 2 Nd 2.74

Output
Theoretical density in g/cm3: 7.9
ΔE_f in eV/atom: 0.079
Spin magnetization in Bohr magnetons per cell: 0.00
Energy in eV per cell: -80.94

A plane-wave DFT calculation with PBE was carried out for crystalline Sc3Zn2Ga4 at its relaxed geometry.

Lattice parameters (Å, degrees): 5.4279 5.4279 8.1903 113.10 113.10 46.84
Closest atoms and distances in Å follow each position.
Element x y z (fractional)
Sc (0.0000, 0.0000, 0.0000)  8 Ga 2.96-3.03, 4 Zn 3.00, 2 Sc 3.28
Sc (0.3348, 0.3348, 0.3326)  8 Ga 2.98-3.00, 4 Zn 2.98, 2 Sc 3.26-3.28
Sc (0.6652, 0.6652, 0.6674)  8 Ga 2.98-3.00, 4 Zn 2.98, 2 Sc 3.26-3.28
Zn (0.3867, 0.3867, 0.7187)  3 Ga 2.48
Zn (0.6133, 0.6133, 0.2813)  3 Ga 2.48
Ga (0.0585, 0.0585, 0.3896)  2 Zn 2.48, 1 Ga 2.53
Ga (0.2807, 0.2807, 0.9429)  1 Zn 2.48, 2 Ga 2.53
Ga (0.7193, 0.7193, 0.0571)  1 Zn 2.48, 2 Ga 2.53
Ga (0.9415, 0.9415, 0.6104)  2 Zn 2.48, 1 Ga 2.53

Output
Theoretical density in g/cm3: 5.7
ΔE_f in eV/atom: -0.538
Spin magnetization in Bohr magnetons per cell: 0.00
Energy in eV per cell: -38.50

A plane-wave DFT calculation with PBE was carried out for crystalline K4NiP at its relaxed geometry.

Lattice parameters (Å, degrees): 6.5263 6.5263 6.5263 60.00 60.00 60.00
Closest atoms and distances in Å follow each position.
Element x y z (fractional)
K (0.3758, 0.3758, 0.3758)  6 K 3.24-3.29
K (0.3758, 0.3758, 0.8725)  6 K 3.24-3.29
K (0.3758, 0.8725, 0.3758)  6 K 3.24-3.29
K (0.8725, 0.3758, 0.3758)  6 K 3.24-3.29
Ni (0.0000, 0.0000, 0.0000)  12 K 3.83, 4 P 4.00
P (0.7500, 0.7500, 0.7500)  12 K 3.82, 4 Ni 4.00

Output
Theoretical density in g/cm3: 2.1
ΔE_f in eV/atom: 0.818
Spin magnetization in Bohr magnetons per cell: 0.82
Energy in eV per cell: -10.67

A plane-wave DFT calculation with PBE was carried out for crystalline Pm2OsAuC at its relaxed geometry.

Lattice parameters (Å, degrees): 5.1830 5.1830 3.8956 90.00 90.00 90.00
Closest atoms and distances in Å follow each position.
Element x y z (fractional)
Pm (0.0000, 0.5000, 0.0000)  2 C 2.59
Pm (0.5000, 0.0000, 0.0000)  2 C 2.59
Os (0.0000, 0.0000, 0.5000)  2 C 1.95
Au (0.5000, 0.5000, 0.5000)  8 Pm 3.24
C (0.0000, 0.0000, 0.0000)  2 Os 1.95

Output
Theoretical density in g/cm3: 10.9
ΔE_f in eV/atom: -0.451
Spin magnetization in Bohr magnetons per cell: 0.00
Energy in eV per cell: -35.49